1.
GePd2I: relaxed, PBE.

Cell: 6.649 6.649 8.759 Å, 90.00 90.00 90.00°
Space group I-42d (No. 122)
One atom of each set of equivalent atoms:
Ge: 0.000 0.000 0.000 [4 per cell]
Pd: 0.208 0.750 0.125 [8 per cell]
I: 0.000 0.000 0.500 [4 per cell]

Output
final energy = -4.112 eV per atom
formation energy from raw total energies = 0.027 eV per atom
magnetization = 0.00 Bohr magnetons per cell
relative energy among the computed polymorphs = 0.0 meV per atom

=====

2.
VSiS3: relaxed, PBE.

Cell: 4.479 4.479 4.479 Å, 90.00 90.00 90.00°
Space group Pm-3m (No. 221)
One atom of each set of equivalent atoms:
V: 0.000 0.000 0.000 [1 per cell]
Si: 0.500 0.500 0.500 [1 per cell]
S: 0.000 0.500 0.500 [3 per cell]

Output
final energy = -5.123 eV per atom
formation energy from raw total energies = 0.262 eV per atom
magnetization = 2.33 Bohr magnetons per cell
relative energy among the computed polymorphs = 725.9 meV per atom

=====

3.
Y3Zr: relaxed, PBE.

Cell: 3.523 11.016 6.136 Å, 90.00 90.00 90.00°
Space group Imm2 (No. 44)
One atom of each set of equivalent atoms:
Y: 0.000 0.000 0.000 [2 per cell]
Y: 0.000 0.241 0.655 [4 per cell]
Zr: 0.000 0.500 0.987 [2 per cell]

Output
final energy = -6.903 eV per atom
magnetization = 0.00 Bohr magnetons per cell
DFT formation energy = 81.8 meV per atom
relative energy among the computed polymorphs = 10.8 meV per atom

=====

4.
Pm3DyPb2: relaxed, PBE.

Cell: 4.641 4.641 8.814 Å, 90.00 90.00 90.00°
Space group P-4m2 (No. 115)
One atom of each set of equivalent atoms:
Pm: 0.000 0.000 0.000 [1 per cell]
Pm: 0.000 0.500 0.654 [2 per cell]
Dy: 0.500 0.500 0.000 [1 per cell]
Pb: 0.000 0.500 0.282 [2 per cell]

Output
final energy = -4.819 eV per atom
magnetization = 0.00 Bohr magnetons per cell
DFT formation energy = -440.6 meV per atom
relative energy among the computed polymorphs = 0.0 meV per atom

=====

What did the second record say?
VSiS3: relaxed, PBE.

Cell: 4.479 4.479 4.479 Å, 90.00 90.00 90.00°
Space group Pm-3m (No. 221)
One atom of each set of equivalent atoms:
V: 0.000 0.000 0.000 [1 per cell]
Si: 0.500 0.500 0.500 [1 per cell]
S: 0.000 0.500 0.500 [3 per cell]

Output
final energy = -5.123 eV per atom
formation energy from raw total energies = 0.262 eV per atom
magnetization = 2.33 Bohr magnetons per cell
relative energy among the computed polymorphs = 725.9 meV per atom

=====

Question: Number 2 is which compound?
Answer: VSiS3